Entry 1:
A plane-wave DFT calculation with GGA-PBE was carried out for an optimized crystal structure of BaSc2Zn.

Lattice parameters (Å, degrees): 5.0000 4.7062 4.7062 90.00 90.00 90.00
Last column: nearest neighbours and their distance in Å.
Fractional coordinates of all 4 atoms:
Ba: 0.5000 0.0000 0.5000  4 Zn 3.33, 8 Sc 3.43
Sc: 0.0000 0.0000 0.0000  4 Sc 3.33, 4 Ba 3.43, 4 Zn 3.43
Sc: 0.0000 0.5000 0.5000  4 Sc 3.33, 4 Ba 3.43, 4 Zn 3.43
Zn: 0.5000 0.5000 0.0000  4 Ba 3.33, 8 Sc 3.43

Properties
- Energy relative to the elements: 0.30 eV per atom



Entry 2:
A plane-wave DFT calculation with GGA-PBE was carried out for an optimized crystal structure of K2MnRePt.

Lattice parameters (Å, degrees): 6.2761 4.2475 6.2761 90.00 90.00 90.00
Last column: nearest neighbours and their distance in Å.
Fractional coordinates of all 5 atoms:
Re: 0.0000 0.0000 0.0000  2 Mn 2.12
K: 0.0000 0.0000 0.5000  2 Re 3.14
K: 0.5000 0.0000 0.0000  2 Re 3.14
Mn: 0.0000 0.5000 0.0000  2 Re 2.12
Pt: 0.5000 0.5000 0.5000  8 K 3.79

Properties
- Energy relative to the elements: 1.84 eV per atom



Entry 3:
A plane-wave DFT calculation with GGA-PBE was carried out for an optimized crystal structure of YNb2Ir2.

Lattice parameters (Å, degrees): 8.0153 8.0153 2.8822 90.00 90.00 90.00
Last column: nearest neighbours and their distance in Å.
Fractional coordinates of all 10 atoms:
Y: 0.0000 0.0000 0.0000  2 Y 2.88, 4 Nb 3.11
Y: 0.5000 0.5000 0.0000  2 Y 2.88, 4 Nb 3.11
Nb: 0.3623 0.8623 0.0000  6 Ir 2.74-2.77, 2 Nb 2.88
Nb: 0.8623 0.6377 0.0000  6 Ir 2.74-2.77, 2 Nb 2.88
Nb: 0.6377 0.1377 0.0000  6 Ir 2.74-2.77, 2 Nb 2.88
Nb: 0.1377 0.3623 0.0000  6 Ir 2.74-2.77, 2 Nb 2.88
Ir: 0.1567 0.6567 0.5000  6 Nb 2.74-2.77, 2 Ir 2.88
Ir: 0.6567 0.8433 0.5000  6 Nb 2.74-2.77, 2 Ir 2.88
Ir: 0.8433 0.3433 0.5000  6 Nb 2.74-2.77, 2 Ir 2.88
Ir: 0.3433 0.1567 0.5000  6 Nb 2.74-2.77, 2 Ir 2.88

Properties
- Energy relative to the elements: -0.36 eV per atom
- Energy relative to the lowest polymorph listed for this composition: 1.00 eV/f.u.



Entry 4:
A plane-wave DFT calculation with GGA-PBE was carried out for an optimized crystal structure of Na2PrYTe4.

Lattice parameters (Å, degrees): 4.5066 7.8038 8.0088 108.95 90.00 90.00
Last column: nearest neighbours and their distance in Å.
Fractional coordinates of all 8 atoms:
Na: 0.5000 0.0000 0.5000  6 Te 3.31-3.32
Na: 0.0000 0.5000 0.5000  6 Te 3.24-3.25
Pr: 0.0000 0.0000 0.0000  6 Te 3.19-3.20
Y: 0.5000 0.5000 0.0000  6 Te 3.12
Te: 0.5000 0.2541 0.2386  1 Y 3.12, 2 Pr 3.19, 3 Na 3.25-3.32
Te: 0.5000 0.7459 0.7614  1 Y 3.12, 2 Pr 3.19, 3 Na 3.25-3.32
Te: 0.0000 0.2631 0.7657  2 Y 3.12, 1 Pr 3.20, 3 Na 3.24-3.31
Te: 0.0000 0.7369 0.2343  2 Y 3.12, 1 Pr 3.20, 3 Na 3.24-3.31

Properties
- Formation energy (no corrections): -1.327 eV/atom



Entry 5:
A plane-wave DFT calculation with GGA-PBE was carried out for an optimized crystal structure of KY2Cl8.

Lattice parameters (Å, degrees): 7.9734 6.9996 6.9996 73.84 80.18 80.18
Last column: nearest neighbours and their distance in Å.
Fractional coordinates of all 11 atoms:
K: 0.0000 0.0000 0.0000  6 Cl 3.16-3.26
Y: 0.4610 0.3223 0.3223  7 Cl 2.63-2.77
Y: 0.5390 0.6777 0.6777  7 Cl 2.63-2.77
Cl: 0.3361 0.6603 0.0432  2 Y 2.77
Cl: 0.6639 0.9568 0.3397  2 Y 2.77
Cl: 0.1956 0.2180 0.2180  1 Y 2.63
Cl: 0.8044 0.7820 0.7820  1 Y 2.63
Cl: 0.3361 0.0432 0.6603  2 Y 2.77
Cl: 0.6639 0.3397 0.9568  2 Y 2.77
Cl: 0.7161 0.4418 0.4418  2 Y 2.66-2.72
Cl: 0.2839 0.5582 0.5582  2 Y 2.66-2.72

Properties
- Formation energy (no corrections): -1.932 eV/atom



Entry 6:
A plane-wave DFT calculation with GGA-PBE was carried out for an optimized crystal structure of K2LaTl.

Lattice parameters (Å, degrees): 3.6529 3.6529 12.8814 90.00 90.00 90.00
Last column: nearest neighbours and their distance in Å.
Fractional coordinates of all 4 atoms:
K: 0.0000 0.0000 0.9695  4 K 3.65, 4 Tl 3.83
K: 0.0000 0.0000 0.5305  4 K 3.65, 4 Tl 3.83
La: 0.5000 0.5000 0.2500  4 La 3.65
Tl: 0.5000 0.5000 0.7500  4 Tl 3.65, 8 K 3.83

Properties
- Energy relative to the elements: 0.25 eV per atom
- Energy relative to the lowest polymorph listed for this composition: 1.08 eV/f.u.



Entry 7:
A plane-wave DFT calculation with GGA-PBE was carried out for an optimized crystal structure of NdPuZnN3.

Lattice parameters (Å, degrees): 3.4662 7.2587 7.3392 99.37 90.00 90.00
Last column: nearest neighbours and their distance in Å.
Fractional coordinates of all 12 atoms:
Nd: 0.2500 0.1771 0.2054  5 N 2.46-2.69
Nd: 0.7500 0.8229 0.7946  5 N 2.46-2.69
Pu: 0.2500 0.6502 0.1698  5 N 2.21-2.37
Pu: 0.7500 0.3498 0.8302  5 N 2.21-2.37
Zn: 0.2500 0.1004 0.5910  4 N 1.99-2.16
Zn: 0.7500 0.8996 0.4090  4 N 1.99-2.16
N: 0.7500 0.8640 0.1340  1 Zn 1.99
N: 0.2500 0.1360 0.8660  1 Zn 1.99
N: 0.2500 0.8009 0.5118  3 Zn 2.06-2.16
N: 0.7500 0.1991 0.4882  3 Zn 2.06-2.16
N: 0.7500 0.4248 0.1339  3 Pu 2.21-2.37
N: 0.2500 0.5752 0.8661  3 Pu 2.21-2.37

Properties
- Formation energy (no corrections): -0.786 eV/atom



Entry 8:
A plane-wave DFT calculation with GGA-PBE was carried out for an optimized crystal structure of AlCuRe.

Lattice parameters (Å, degrees): 3.0308 3.0308 8.9935 90.00 90.00 90.00
Last column: nearest neighbours and their distance in Å.
Fractional coordinates of all 6 atoms:
Re: 0.5000 0.5000 0.4028  4 Re 2.63, 4 Al 2.66
Re: 0.0000 0.0000 0.5724  4 Re 2.63, 4 Cu 2.72
Al: 0.0000 0.0000 0.9016  8 Cu 2.50-2.61
Al: 0.0000 0.0000 0.2279  4 Cu 2.58, 4 Re 2.66
Cu: 0.5000 0.5000 0.0675  8 Al 2.58-2.61, 1 Cu 2.77
Cu: 0.5000 0.5000 0.7592  4 Al 2.50, 4 Re 2.72, 1 Cu 2.77

Properties
- Energy relative to the elements: -0.12 eV per atom
- Energy relative to the lowest polymorph listed for this composition: 0.00 eV/f.u.



Entry 9:
A plane-wave DFT calculation with GGA-PBE was carried out for an optimized crystal structure of RbBeNO2.

Lattice parameters (Å, degrees): 4.3018 4.3018 4.6267 90.00 90.00 90.00
Last column: nearest neighbours and their distance in Å.
Fractional coordinates of all 5 atoms:
Be: 0.5000 0.5000 0.5000  4 N 3.04, 8 O 3.16
O: 0.0000 0.5000 0.0000  2 Rb 2.15
O: 0.5000 0.0000 0.0000  2 Rb 2.15
Rb: 0.0000 0.0000 0.0000  4 O 2.15, 2 N 2.31
N: 0.0000 0.0000 0.5000  2 Rb 2.31

Properties
- Formation energy (no corrections): 2.214 eV/atom



Entry 10:
A plane-wave DFT calculation with GGA-PBE was carried out for an optimized crystal structure of CaTaSi2.

Lattice parameters (Å, degrees): 5.4410 5.4410 5.4410 137.72 137.72 61.33
Last column: nearest neighbours and their distance in Å.
Fractional coordinates of all 4 atoms:
Ca: 0.7500 0.2500 0.5000  8 Si 2.78-3.05, 4 Ta 3.05
Si: 0.0000 0.0000 0.0000  4 Ta 2.78, 4 Si 3.05, 4 Ca 3.05
Si: 0.2500 0.7500 0.5000  4 Ca 2.78, 4 Si 3.05, 4 Ta 3.05
Ta: 0.5000 0.5000 0.0000  8 Si 2.78-3.05, 4 Ca 3.05

Properties
- Formation energy (no corrections): 0.093 eV/atom
- Energy relative to the lowest polymorph listed for this composition: 1.38 eV/f.u.



Entry 11:
A plane-wave DFT calculation with GGA-PBE was carried out for an optimized crystal structure of Pm2PrHo.

Lattice parameters (Å, degrees): 5.7856 5.7856 5.7856 60.00 60.00 60.00
Last column: nearest neighbours and their distance in Å.
Fractional coordinates of all 4 atoms:
Pr: 0.5000 0.5000 0.5000  8 Pm 3.54
Ho: 0.0000 0.0000 0.0000  8 Pm 3.54
Pm: 0.2500 0.2500 0.2500  4 Ho 3.54, 4 Pr 3.54
Pm: 0.7500 0.7500 0.7500  4 Pr 3.54, 4 Ho 3.54

Properties
- Energy relative to the elements: 0.14 eV per atom
- Energy relative to the lowest polymorph listed for this composition: 0.51 eV/f.u.



Entry 12:
A plane-wave DFT calculation with GGA-PBE was carried out for an optimized crystal structure of Ac2PmNd2Y.

Lattice parameters (Å, degrees): 5.9496 7.3938 10.2330 90.00 90.00 90.00
Last column: nearest neighbours and their distance in Å.
Fractional coordinates of all 12 atoms:
Ac: 0.5000 0.0078 0.9999  6 Ac 3.70-3.93, 2 Pm 3.90, 6 Nd 3.94-4.01
Ac: 0.0000 0.2576 0.1732  5 Nd 3.47-3.70, 2 Y 3.82
Ac: 0.5000 0.5078 0.0001  6 Ac 3.70-3.93, 2 Pm 3.90, 6 Nd 3.94-4.01
Ac: 0.0000 0.7576 0.8268  5 Nd 3.47-3.70, 2 Y 3.82
Pm: 0.5000 0.2576 0.6641  3 Nd 3.24-3.39
Pm: 0.5000 0.7576 0.3359  3 Nd 3.24-3.39
Nd: 0.0000 0.2577 0.8232  2 Pm 3.39, 3 Ac 3.58-3.70, 2 Y 3.79
Nd: 0.5000 0.2575 0.3474  1 Pm 3.24, 2 Ac 3.47
Nd: 0.0000 0.7577 0.1768  2 Pm 3.39, 3 Ac 3.58-3.70, 2 Y 3.79
Nd: 0.5000 0.7575 0.6526  1 Pm 3.24, 2 Ac 3.47
Y: 0.0000 0.0074 0.5000  2 Y 3.70, 6 Nd 3.79-3.83, 2 Ac 3.82, 4 Pm 3.88
Y: 0.0000 0.5074 0.5000  2 Y 3.70, 6 Nd 3.79-3.83, 2 Ac 3.82, 4 Pm 3.88

Properties
- Energy relative to the elements: 0.07 eV per atom